This record from Alexandria via LeMat-Bulk describes a relaxed structure of LiInSn. The functional is PBE.

- Fermi-level density of states: 0.355 states/eV per atom
- Mass density: 5.63 g/cm3
- Calculated formation energy: -17.2 kJ per mole of atoms

a = 4.459 Å, b = 5.681 Å, c = 6.413 Å
α = 72.94°, β = 90.11°, γ = 67.20°
Element x y z (fractional)
In 0.548 0.580 0.289
In 0.878 0.921 0.971
Li 0.210 0.257 0.110
Li 0.889 0.897 0.468
Sn 0.220 0.234 0.606
Sn 0.549 0.578 0.788

This record from Alexandria via LeMat-Bulk describes a relaxed structure of Ag2SnBMo. The functional is PBE.

- Fermi-level density of states: 0.494 states/eV per atom
- Mass density: 6.29 g/cm3
- Calculated formation energy: 164.6 kJ per mole of atoms

a = 5.269 Å, b = 4.199 Å, c = 5.269 Å
α = 90.00°, β = 90.00°, γ = 90.00°
Site moments in Bohr magnetons follow the coordinates.
Element x y z (fractional)
Sn 0.000 0.000 0.000  0.01
B 0.000 0.500 0.000  -0.07
Ag 0.000 0.000 0.500  0.01
Ag 0.500 0.000 0.000  0.01
Mo 0.500 0.500 0.500  3.57